1.
DFT (PBE) results for a geometry-optimized Ba3CaF8 structure.

Cell: 6.0977 6.0977 12.1473 Å, 90.00 90.00 90.00°
Closest atoms and distances in Å follow each position.
Space group I4/mmm (No. 139)
Unique sites:
Ba 0.0000 0.0000 0.0000  8 F 2.70
Ba 0.0000 0.5000 0.2500  8 F 2.69
Ca 0.0000 0.0000 0.5000  8 F 2.48
F 0.2348 0.2348 0.3816  1 Ca 2.48, 3 Ba 2.69-2.70

- total energy (eV/f.u.) = -69.0

2.
DFT (PBE) results for a geometry-optimized AlFe2CuP structure.

Cell: 4.0940 4.0940 4.1981 Å, 90.00 90.00 90.00°
Closest atoms and distances in Å follow each position.
Space group P4/mmm (No. 123)
Unique sites:
Al 0.0000 0.0000 0.0000  4 Cu 2.89, 8 Fe 2.93
Fe 0.0000 0.5000 0.5000  2 P 2.05
Cu 0.5000 0.5000 0.0000  2 P 2.10
P 0.5000 0.5000 0.5000  4 Fe 2.05, 2 Cu 2.10

- DFT formation energy (kJ/mol of formula units) = 134

3.
DFT (PBE) results for a geometry-optimized AgSn2Cl2 structure.

Cell: 4.4431 4.4431 13.5351 Å, 90.00 90.00 90.00°
Closest atoms and distances in Å follow each position.
Space group I4/mmm (No. 139)
Unique sites:
Ag 0.0000 0.0000 0.0000  8 Sn 3.48
Sn 0.0000 0.0000 0.3896  4 Cl 2.92, 1 Sn 2.99
Cl 0.0000 0.5000 0.2500  4 Sn 2.92, 4 Cl 3.14

- distance to the lowest polymorph of the same formula (kJ per mole of atoms) = 21.8

4.
DFT (PBE) results for a geometry-optimized CdSi2Hg structure.

Cell: 7.7202 7.7202 5.5867 Å, 90.00 90.00 90.00°
Closest atoms and distances in Å follow each position.
Space group I-42d (No. 122)
Unique sites:
Cd 0.0000 0.0000 0.0000  2 Hg 2.79, 4 Si 2.87
Si 0.2410 0.2500 0.6250  2 Hg 2.77, 2 Si 2.80, 2 Cd 2.87
Hg 0.0000 0.0000 0.5000  4 Si 2.77, 2 Cd 2.79

- distance to the lowest polymorph of the same formula (kJ per mole of atoms) = 31.0

5.
DFT (PBE) results for a geometry-optimized PrURu2 structure.

Cell: 5.5773 15.1910 4.2269 Å, 90.00 90.00 90.00°
Closest atoms and distances in Å follow each position.
Space group Cmcm (No. 63)
Unique sites:
Pr 0.0000 0.2178 0.2500  6 Ru 3.27-3.36, 4 U 3.40-3.61, 4 Pr 3.63
U 0.0000 0.4100 0.7500  4 Ru 2.54
Ru 0.2485 0.0815 0.7500  2 U 2.54, 2 Ru 2.77-2.81

- DFT formation energy (kJ/mol of formula units) = -33

6.
DFT (PBE) results for a geometry-optimized Ce3Mg2Ni2Ge4 structure.

Cell: 4.2909 4.2909 14.6238 Å, 90.00 90.00 120.00°
Closest atoms and distances in Å follow each position.
Space group P-3m1 (No. 164)
Unique sites:
Ce 0.0000 0.0000 0.0000  6 Ni 3.10, 6 Ge 3.12
Ce 0.0000 0.0000 0.2545  6 Ge 2.98-3.08, 3 Ni 3.09
Mg 0.3333 0.6667 0.5648  4 Ge 2.67-2.88
Ni 0.3333 0.6667 0.1277  3 Ge 2.48
Ge 0.3333 0.6667 0.3678  4 Mg 2.67-2.88, 3 Ce 2.98
Ge 0.3333 0.6667 0.8709  3 Ni 2.48

- DFT formation energy (kJ/mol of formula units) = -643

7.
DFT (PBE) results for a geometry-optimized Y2VCoB structure.

Cell: 5.1463 5.1463 3.8471 Å, 90.00 90.00 90.00°
Closest atoms and distances in Å follow each position.
Space group P4/mmm (No. 123)
Unique sites:
Y 0.0000 0.5000 0.0000  2 Co 2.57
V 0.0000 0.0000 0.5000  8 Y 3.21
Co 0.5000 0.5000 0.0000  2 B 1.92
B 0.5000 0.5000 0.5000  2 Co 1.92

- DFT formation energy (kJ/mol of formula units) = 206

8.
DFT (PBE) results for a geometry-optimized NbTcBr2O6 structure.

Cell: 5.6327 5.6797 7.9982 Å, 90.00 90.00 90.00°
Closest atoms and distances in Å follow each position.
Space group Immm (No. 71)
Unique sites:
Nb 0.0000 0.0000 0.0000  6 O 2.06
Tc 0.0000 0.0000 0.5000  6 O 1.94
Br 0.0000 0.5000 0.2509  12 O 2.82-2.84
O 0.0000 0.0000 0.2578  1 Tc 1.94, 1 Nb 2.06
O 0.2428 0.2418 0.5000  1 Tc 1.94, 1 Nb 2.06

- total energy (eV/f.u.) = -62.4

Number 1: DOS at the Fermi energy 0.00 states/eV/cell. Number 2: DOS at the Fermi energy 2.88 states/eV/cell. Number 3: DOS at the Fermi energy 4.27 states/eV/cell. Number 4: DOS at the Fermi energy 8.28 states/eV/cell. Number 5: DOS at the Fermi energy 19.12 states/eV/cell. Number 6: DOS at the Fermi energy 2.76 states/eV/cell. Number 7: DOS at the Fermi energy 3.58 states/eV/cell. Number 8: DOS at the Fermi energy 12.69 states/eV/cell.